(1)
Material: LiCoBr4
Method: DFT, GGA-PBE
State: relaxed

Unit cell a=7.2523 b=7.2523 c=9.2634 alpha=90.00 beta=90.00 gamma=90.00
Element x y z (fractional)
Li (0.0000, 0.0000, 0.5000)
Li (0.0000, 0.0000, 0.0000)
Co (0.0000, 0.5000, 0.0000)
Co (0.5000, 0.0000, 0.5000)
Br (0.7267, 0.2273, 0.5000)
Br (0.7727, 0.2733, 0.0000)
Br (0.7267, 0.7727, 0.5000)
Br (0.2273, 0.7267, 0.0000)
Br (0.2733, 0.7727, 0.5000)
Br (0.2273, 0.2733, 0.0000)
Br (0.7727, 0.7267, 0.0000)
Br (0.2733, 0.2273, 0.5000)

formation energy from raw total energies = -0.579 eV per atom
total moment = 2.00 μB/f.u.
SG = P4_2/mmc (131)


(2)
Material: Ti2Cu2As
Method: DFT, GGA-PBE
State: relaxed

Unit cell a=6.2233 b=6.2233 c=3.8760 alpha=90.00 beta=90.00 gamma=90.00
Element x y z (fractional)
As (0.0000, 0.0000, 0.0000)
As (0.5000, 0.5000, 0.0000)
Cu (0.3673, 0.8673, 0.0000)
Cu (0.8673, 0.6327, 0.0000)
Cu (0.6327, 0.1327, 0.0000)
Cu (0.1327, 0.3673, 0.0000)
Ti (0.1639, 0.6639, 0.5000)
Ti (0.6639, 0.8361, 0.5000)
Ti (0.8361, 0.3361, 0.5000)
Ti (0.3361, 0.1639, 0.5000)

energy of formation from the pure elements = -85.0 kJ/mol of formula units
total moment = 0.00 μB/f.u.
SG = P4/mbm (127)


| no. | distance to the lowest polymorph of the same formula (kJ/mol of formula units) |
| --- | --- |
| 1 | 0 |
| 2 | 0 |